Entry 1:
Pr2USe5: relaxed, GGA-PBE.

Cell lengths 7.6867, 7.6867, 13.9775 Å; angles 90.00, 90.00, 136.19 degrees
Last column: nearest neighbours and their distance in Å.
Positions (direct):
Pr 0.1458 0.8542 0.5610  6 Se 2.90-3.12
Pr 0.1458 0.8542 0.9390  6 Se 2.90-3.12
Pr 0.8542 0.1458 0.0610  6 Se 2.90-3.12
Pr 0.8542 0.1458 0.4390  6 Se 2.90-3.12
U 0.1956 0.8044 0.2500  6 Se 2.75-2.93
U 0.8044 0.1956 0.7500  6 Se 2.75-2.93
Se 0.0482 0.9518 0.1228  1 U 2.75, 2 Pr 2.90-2.92
Se 0.0482 0.9518 0.3772  1 U 2.75, 2 Pr 2.90-2.92
Se 0.2626 0.7374 0.7500  2 U 2.93, 2 Pr 3.12
Se 0.3104 0.6896 0.0802  1 U 2.88, 3 Pr 2.95-3.07
Se 0.3104 0.6896 0.4198  1 U 2.88, 3 Pr 2.95-3.07
Se 0.6896 0.3104 0.5802  1 U 2.88, 3 Pr 2.95-3.07
Se 0.6896 0.3104 0.9198  1 U 2.88, 3 Pr 2.95-3.07
Se 0.7374 0.2626 0.2500  2 U 2.93, 2 Pr 3.12
Se 0.9518 0.0482 0.6228  1 U 2.75, 2 Pr 2.90-2.92
Se 0.9518 0.0482 0.8772  1 U 2.75, 2 Pr 2.90-2.92

SG = Cmcm, No. 63
calculated total energy = -101.107 eV/cell



Entry 2:
Sm2HoEr2Th2: relaxed, GGA-PBE.

Cell lengths 12.0633, 12.0633, 12.0633 Å; angles 163.40, 153.11, 31.76 degrees
Last column: nearest neighbours and their distance in Å.
Positions (direct):
Sm 0.1443 0.1443 0.0000  2 Th 3.30, 5 Er 3.40-3.63, 2 Sm 3.48
Sm 0.8557 0.8557 0.0000  2 Th 3.30, 5 Er 3.40-3.63, 2 Sm 3.48
Ho 0.0000 0.5000 0.5000  2 Ho 3.48, 8 Th 3.67, 4 Sm 3.77
Er 0.2907 0.2907 0.0000  5 Sm 3.40-3.63, 6 Er 3.48-3.80, 2 Th 3.68
Er 0.7093 0.7093 0.0000  5 Sm 3.40-3.63, 6 Er 3.48-3.80, 2 Th 3.68
Th 0.4306 0.9306 0.5000  3 Th 3.22-3.48, 2 Sm 3.30
Th 0.5694 0.0694 0.5000  3 Th 3.22-3.48, 2 Sm 3.30

energy of formation = 0.090 eV/atom
SG = Immm, No. 71
calculated total energy = -37.353 eV/cell



Entry 3:
Fe2IrCl: relaxed, GGA-PBE.

Cell lengths 9.2629, 9.2629, 9.2629 Å; angles 17.79, 17.79, 17.79 degrees
Last column: nearest neighbours and their distance in Å.
Positions (direct):
Fe 0.0000 0.0000 0.0000  3 Ir 2.54, 3 Fe 2.55
Fe 0.2621 0.2621 0.2621  3 Cl 2.35, 3 Fe 2.55
Ir 0.7372 0.7372 0.7372  3 Fe 2.54
Cl 0.5346 0.5346 0.5346  3 Fe 2.35

SG = R3m, No. 160
calculated total energy = -26.747 eV/cell



Entry 4:
ZnC2N2: relaxed, GGA-PBE.

Cell lengths 5.6209, 5.6209, 5.6209 Å; angles 148.17, 148.17, 45.63 degrees
Last column: nearest neighbours and their distance in Å.
Positions (direct):
Zn 0.0000 0.0000 0.0000  2 C 2.01
C 0.1943 0.1943 0.0000  4 N 1.65
C 0.8057 0.8057 0.0000  4 N 1.65
N 0.2500 0.7500 0.5000  4 C 1.65
N 0.7500 0.2500 0.5000  4 C 1.65

SG = I4/mmm, No. 139
calculated total energy = -27.935 eV/cell



Entry 5:
ThCo2Cu: relaxed, GGA-PBE.

Cell lengths 5.5089, 7.2234, 7.5162 Å; angles 90.00, 90.00, 90.00 degrees
Last column: nearest neighbours and their distance in Å.
Positions (direct):
Th 0.2500 0.0000 0.1925  2 Co 2.69, 2 Cu 2.76
Th 0.2500 0.5000 0.3000  4 Co 2.48-2.64
Th 0.7500 0.0000 0.8075  2 Co 2.69, 2 Cu 2.76
Th 0.7500 0.5000 0.7000  4 Co 2.48-2.64
Co 0.0000 0.0000 0.5000  4 Co 2.35, 2 Cu 2.51
Co 0.0000 0.5000 0.0000  2 Cu 2.33
Co 0.2500 0.2609 0.5367  2 Co 2.35, 2 Cu 2.35-2.62, 1 Th 2.48
Co 0.2500 0.7391 0.5367  2 Co 2.35, 2 Cu 2.35-2.62, 1 Th 2.48
Co 0.5000 0.0000 0.5000  4 Co 2.35, 2 Cu 2.51
Co 0.5000 0.5000 0.0000  2 Cu 2.33
Co 0.7500 0.2609 0.4633  2 Co 2.35, 2 Cu 2.35-2.62, 1 Th 2.48
Co 0.7500 0.7391 0.4633  2 Co 2.35, 2 Cu 2.35-2.62, 1 Th 2.48
Cu 0.2500 0.0000 0.7786  4 Co 2.51-2.62, 2 Th 2.76
Cu 0.2500 0.5000 0.7493  4 Co 2.33-2.35
Cu 0.7500 0.0000 0.2214  4 Co 2.51-2.62, 2 Th 2.76
Cu 0.7500 0.5000 0.2507  4 Co 2.33-2.35

energy of formation = 0.364 eV/atom
SG = Pmma, No. 51
calculated total energy = -97.081 eV/cell



Entry 6:
V2CuSnH: relaxed, GGA-PBE.

Cell lengths 3.8192, 3.8192, 4.2372 Å; angles 90.00, 90.00, 90.00 degrees
Last column: nearest neighbours and their distance in Å.
Positions (direct):
V 0.0000 0.5000 0.0000  2 H 1.91
V 0.5000 0.0000 0.0000  2 H 1.91
Cu 0.0000 0.0000 0.5000  2 H 2.12
Sn 0.5000 0.5000 0.5000  4 Cu 2.70, 8 V 2.85
H 0.0000 0.0000 0.0000  4 V 1.91, 2 Cu 2.12

SG = P4/mmm, No. 123
calculated total energy = -29.748 eV/cell



Entry 7:
Nd2Y5Tm: relaxed, GGA-PBE.

Cell lengths 13.1657, 13.1657, 6.7152 Å; angles 90.25, 90.25, 152.01 degrees
Last column: nearest neighbours and their distance in Å.
Positions (direct):
Nd 0.0000 0.0000 0.0000  4 Y 3.31-3.37, 2 Nd 3.36
Nd 0.0000 0.0000 0.5000  4 Y 3.31-3.37, 2 Nd 3.36
Nd 0.0000 0.5000 0.0000  2 Y 3.20
Nd 0.5000 0.0000 0.5000  2 Y 3.20
Y 0.1142 0.8858 0.2500  4 Y 3.12-3.29, 2 Nd 3.37
Y 0.1391 0.5074 0.5287  2 Y 3.12-3.17, 1 Nd 3.20
Y 0.1543 0.3599 0.1776  4 Y 3.17-3.43, 1 Nd 3.31, 1 Tm 3.54
Y 0.3599 0.1543 0.6776  4 Y 3.17-3.43, 1 Nd 3.31, 1 Tm 3.54
Y 0.4926 0.8609 0.9713  2 Y 3.12-3.17, 1 Nd 3.20
Y 0.5074 0.1391 0.0287  2 Y 3.12-3.17, 1 Nd 3.20
Y 0.6401 0.8457 0.3224  4 Y 3.17-3.43, 1 Nd 3.31, 1 Tm 3.54
Y 0.8457 0.6401 0.8224  4 Y 3.17-3.43, 1 Nd 3.31, 1 Tm 3.54
Y 0.8609 0.4926 0.4713  2 Y 3.12-3.17, 1 Nd 3.20
Y 0.8858 0.1142 0.7500  4 Y 3.12-3.29, 2 Nd 3.37
Tm 0.4488 0.5512 0.7500  6 Y 3.54-3.87, 4 Nd 3.80-3.85
Tm 0.5512 0.4488 0.2500  6 Y 3.54-3.87, 4 Nd 3.80-3.85

energy of formation = 0.309 eV/atom
SG = C2/c, No. 15
calculated total energy = -87.704 eV/cell



Entry 8:
Nb2Se5I2: relaxed, GGA-PBE.

Cell lengths 11.2055, 11.2055, 6.5300 Å; angles 90.00, 90.00, 39.98 degrees
Last column: nearest neighbours and their distance in Å.
Positions (direct):
Nb 0.1548 0.8452 0.8709  8 Se 2.60-2.81
Nb 0.3452 0.6548 0.3709  8 Se 2.60-2.81
Nb 0.6548 0.3452 0.6291  8 Se 2.60-2.81
Nb 0.8452 0.1548 0.1291  8 Se 2.60-2.81
Se 0.0000 0.0000 0.5000  4 Nb 2.70-2.78, 4 Se 2.96
Se 0.0499 0.7858 0.1658  3 Nb 2.60-2.81
Se 0.2142 0.9501 0.1658  3 Nb 2.60-2.81
Se 0.2858 0.5499 0.6658  3 Nb 2.60-2.81
Se 0.4501 0.7142 0.6658  3 Nb 2.60-2.81
Se 0.5000 0.5000 0.0000  4 Nb 2.70-2.78, 4 Se 2.96
Se 0.5499 0.2858 0.3342  3 Nb 2.60-2.81
Se 0.7142 0.4501 0.3342  3 Nb 2.60-2.81
Se 0.7858 0.0499 0.8342  3 Nb 2.60-2.81
Se 0.9501 0.2142 0.8342  3 Nb 2.60-2.81
I 0.2481 0.2481 0.5000  2 I 3.27
I 0.2519 0.2519 0.0000  2 I 3.27
I 0.7481 0.7481 0.0000  2 I 3.27
I 0.7519 0.7519 0.5000  2 I 3.27

SG = Cmce, No. 64
calculated total energy = -88.352 eV/cell